NbGePd6 | PBE-GGA | optimized geometry

a b c (Å): 7.4221 7.4221 8.0641
angles (deg): 90.00 90.00 120.00
Space group R-3 (No. 148, hexagonal axes)
Unique sites:
Nb 0.0000 0.0000 0.0000 x3
Ge 0.0000 0.0000 0.5000 x3
Pd 0.0310 0.2506 0.7127 x18

## Properties
Crystal system: trigonal
Electronic total energy, eV/f.u.: -48.224

Ba12Hg3Pt5 | PBE-GGA | optimized geometry

a b c (Å): 19.5467 19.5467 19.5467
angles (deg): 90.00 90.00 90.00
Space group Ia-3d (No. 230)
Unique sites:
Ba 0.0283 0.0593 0.6489 x96
Hg 0.0000 0.2500 0.1250 x24
Pt 0.0000 0.0000 0.0000 x16
Pt 0.0000 0.2500 0.3750 x24

## Properties
Crystal system: cubic
Electronic total energy, eV/f.u.: -63.133

BaClO | PBE-GGA | optimized geometry

a b c (Å): 7.6763 4.1847 9.4860
angles (deg): 90.00 90.00 90.00
Space group Pnma (No. 62)
Unique sites:
Ba 0.2224 0.2500 0.1205 x4
Cl 0.0459 0.7500 0.3375 x4
O 0.0977 0.7500 0.9683 x4

## Properties
Crystal system: orthorhombic
Energy relative to the elements, uncorrected, eV per atom: -1.903

Na4Cu2F9 | PBE-GGA | optimized geometry

a b c (Å): 9.6529 5.5200 14.9120
angles (deg): 90.00 90.71 90.00
Space group C2/c (No. 15)
Unique sites:
Na 0.1644 0.0066 0.3128 x8
Na 0.1676 0.0028 0.0220 x8
Cu 0.0055 0.4925 0.6521 x8
F 0.0000 0.2454 0.2500 x4
F 0.0157 0.1882 0.9103 x8
F 0.1338 0.3502 0.7410 x8
F 0.1372 0.3363 0.4099 x8
F 0.1681 0.3710 0.0895 x8

## Properties
Crystal system: monoclinic
Energy relative to the elements, uncorrected, eV per atom: -2.161

LiPr2Sn3Te6 | PBE-GGA | optimized geometry

a b c (Å): 19.9211 4.4556 9.1856
angles (deg): 90.00 105.29 90.00
Space group C2/m (No. 12)
Unique sites:
Li 0.0000 0.0000 0.0000 x2
Pr 0.1659 0.5000 0.3400 x4
Sn 0.0000 0.0000 0.5000 x2
Sn 0.1605 0.5000 0.8464 x4
Te 0.0008 0.5000 0.2435 x4
Te 0.1670 0.0000 0.5929 x4
Te 0.1685 0.0000 0.0882 x4

## Properties
Crystal system: monoclinic
Energy relative to the elements, uncorrected, eV per atom: -0.747